[1]
Computed, not measured: a geometry-optimized TmHg2Pd4 structure at the PBE level of DFT.

Cell and atoms, written as extended XYZ:
```
7
Lattice="2.8897 -4.2598 0.0000 2.8897 4.2598 0.0000 -1.4637 0.0000 5.4472" Properties=species:S:1:pos:R:3 pbc="T T T"
Tm 0.0000 0.0000 0.0000
Hg 0.6749 0.0000 3.1184
Hg 3.6409 0.0000 2.3288
Pd 1.9587 1.9138 1.2745
Pd 2.3571 1.9138 4.1727
Pd 1.9587 -1.9138 1.2745
Pd 2.3571 -1.9138 4.1727
```

Calculated values
**ΔE_f**: -2.7 eV/f.u.
**Crystal system**: monoclinic
**Calculated density**: 12.33 Mg/m³

***

[2]
Computed, not measured: a geometry-optimized Cs2InHg4Au3 structure at the PBE level of DFT.

Cell and atoms, written as extended XYZ:
```
10
Lattice="5.0080 0.0000 0.0000 0.0000 5.0080 0.0000 0.0000 0.0000 12.2724" Properties=species:S:1:pos:R:3 pbc="T T T"
Cs 0.0000 2.5040 2.9332
Cs 2.5040 0.0000 9.3392
In 0.0000 0.0000 6.1362
Hg 0.0000 0.0000 0.0000
Hg 0.0000 2.5040 7.7994
Hg 2.5040 0.0000 4.4730
Hg 2.5040 2.5040 0.0000
Au 0.0000 2.5040 10.6661
Au 2.5040 0.0000 1.6063
Au 2.5040 2.5040 6.1362
```

Calculated values
**ΔE_f**: -1.8 eV/f.u.
**Crystal system**: tetragonal
**Calculated density**: 9.57 Mg/m³

***

[3]
Computed, not measured: a geometry-optimized Dy5ScTl6 structure at the PBE level of DFT.

Cell and atoms, written as extended XYZ:
```
12
Lattice="4.5912 -8.0060 0.0000 4.5912 8.0060 0.0000 -3.0746 0.0000 4.3476" Properties=species:S:1:pos:R:3 pbc="T T T"
Dy 0.0000 0.0000 0.0000
Dy 3.0539 5.3510 2.1738
Dy 4.5912 2.7072 0.0000
Dy 4.5912 -2.7072 0.0000
Dy 3.0539 -5.3510 2.1738
Sc 3.0539 0.0000 2.1738
Tl 1.5581 2.6149 1.1092
Tl 0.0502 0.0000 3.3027
Tl 1.5581 -2.6149 1.1092
Tl 4.5497 2.6149 3.2385
Tl 6.0576 0.0000 1.0449
Tl 4.5497 -2.6149 3.2385
```

Calculated values
**ΔE_f**: -3.9 eV/f.u.
**Crystal system**: monoclinic
**Calculated density**: 10.83 Mg/m³

***

[4]
Computed, not measured: a geometry-optimized TlSn4Bi structure at the PBE level of DFT.

Cell and atoms, written as extended XYZ:
```
6
Lattice="0.0000 4.4825 4.4825 4.4825 0.0000 4.4825 4.4825 4.4825 0.0000" Properties=species:S:1:pos:R:3 pbc="T T T"
Tl 0.0000 0.0000 0.0000
Sn 5.6053 3.3597 3.3597
Sn 3.3597 5.6053 3.3597
Sn 3.3597 3.3597 5.6053
Sn 5.6053 5.6053 5.6053
Bi 2.2412 2.2412 2.2412
```

Calculated values
**ΔE_f**: 0.7 eV/f.u.
**Crystal system**: cubic
**Calculated density**: 8.19 Mg/m³

***

[5]
Computed, not measured: a geometry-optimized RbAgAsF6 structure at the PBE level of DFT.

Cell and atoms, written as extended XYZ:
```
9
Lattice="3.0374 -5.2736 0.0000 3.0374 5.2736 0.0000 -0.0064 0.0000 5.5296" Properties=species:S:1:pos:R:3 pbc="T T T"
Rb 0.0000 0.0000 0.0000
Ag 3.0342 -1.7531 2.7648
As 3.0342 1.7581 2.7648
F 1.4462 1.8055 1.6764
F 2.2035 3.1082 3.8573
F 3.8649 3.1082 1.6723
F 2.2847 0.3610 3.8583
F 3.7837 0.3610 1.6713
F 4.6223 1.8055 3.8532
```

Calculated values
**Crystal system**: monoclinic
**Calculated density**: 3.58 Mg/m³
**Formation energy from raw total energies**: -2.004 eV per atom

***

[6]
Computed, not measured: a geometry-optimized Tl2TePt structure at the PBE level of DFT.

Cell and atoms, written as extended XYZ:
```
4
Lattice="-1.7989 2.2892 6.8615 1.7989 -2.2892 6.8615 1.7989 2.2892 -6.8615" Properties=species:S:1:pos:R:3 pbc="T T T"
Tl 0.0000 0.0000 0.0000
Tl 0.0000 2.2892 2.3561
Te 0.0000 0.0000 5.0097
Pt 1.7989 0.0000 3.0746
```

Calculated values
**Crystal system**: orthorhombic
**Calculated density**: 10.75 Mg/m³
**Formation energy from raw total energies**: -0.047 eV per atom

***

| no. | DOS at the Fermi energy (states/eV/cell) |
| --- | --- |
| 1 | 3.02 |
| 2 | 2.24 |
| 3 | 9.08 |
| 4 | 2.94 |
| 5 | 2.54 |
| 6 | 1.88 |